# GGA-PBE Cu3P, optimized geometry
# DFT formation energy = 43.9 meV per atom
# Final energy = -0.1610 Ha/atom
data_Cu3P
_chemical_formula_sum 'Cu6 P2'
_cell_length_a 5.1658
_cell_length_b 5.1658
_cell_length_c 4.2322
_cell_angle_alpha 90.00
_cell_angle_beta 90.00
_cell_angle_gamma 120.00
_space_group_name_H-M_alt 'P 63/m m c'
_space_group_IT_number 194
_space_group_name_Hall '-P 6c 2c'
loop_
_atom_site_label
_atom_site_fract_x
_atom_site_fract_y
_atom_site_fract_z
_atom_site_occupancy
Cu1 0.1665 0.3331 0.2500 1
P1 0.3333 0.6667 0.7500 1

# GGA-PBE KNa3Hg, optimized geometry
# DFT formation energy = 382.2 meV per atom
# Final energy = -0.0253 Ha/atom
# Energy above the lowest structure with this stoichiometry = 0.4475 eV/atom
data_KNa3Hg
_chemical_formula_sum 'K1 Na3 Hg1'
_cell_length_a 6.803
_cell_length_b 6.803
_cell_length_c 6.803
_cell_angle_alpha 90.00
_cell_angle_beta 90.00
_cell_angle_gamma 90.00
_space_group_name_H-M_alt 'P m -3 m'
_space_group_IT_number 221
_space_group_name_Hall '-P 4 2 3'
loop_
_atom_site_label
_atom_site_fract_x
_atom_site_fract_y
_atom_site_fract_z
_atom_site_occupancy
K1 0.000 0.000 0.000 1
Na1 0.000 0.000 0.500 1
Hg1 0.500 0.500 0.500 1